Record 1
A plane-wave DFT calculation with PBE was carried out for crystalline LiVAsSe2 at its relaxed geometry.

## Properties
Uncorrected formation energy ... 0.63 eV/atom
Energy relative to the lowest polymorph listed for this composition ... 4.23 eV/f.u.

Structure (CIF):
```
data_LiVAsSe2
_symmetry_space_group_name_H-M 'P 4/m m m'
_symmetry_Int_Tables_number 123
_symmetry_space_group_name_Hall '-P 4 2'
_cell_length_a 4.6909
_cell_length_b 4.6909
_cell_length_c 4.3118
_cell_angle_alpha 90.00
_cell_angle_beta 90.00
_cell_angle_gamma 90.00
loop_
_atom_site_label
_atom_site_type_symbol
_atom_site_fract_x
_atom_site_fract_y
_atom_site_fract_z
Li1 Li 0.0000 0.0000 0.0000
V1 V 0.5000 0.5000 0.5000
As1 As 0.0000 0.0000 0.5000
Se1 Se 0.0000 0.5000 0.0000
```



Record 2
A plane-wave DFT calculation with PBE was carried out for crystalline La2SiMo at its relaxed geometry.

## Properties
Uncorrected formation energy ... 0.17 eV/atom

Structure (CIF):
```
data_La2SiMo
_symmetry_space_group_name_H-M 'I -4 m 2'
_symmetry_Int_Tables_number 119
_symmetry_space_group_name_Hall 'I -4 -2'
_cell_length_a 4.5874
_cell_length_b 4.5874
_cell_length_c 8.6739
_cell_angle_alpha 90.00
_cell_angle_beta 90.00
_cell_angle_gamma 90.00
loop_
_atom_site_label
_atom_site_type_symbol
_atom_site_fract_x
_atom_site_fract_y
_atom_site_fract_z
La1 La 0.0000 0.0000 0.0000
La2 La 0.0000 0.5000 0.2500
Si1 Si 0.0000 0.0000 0.5000
Mo1 Mo 0.0000 0.5000 0.7500
```



Record 3
A plane-wave DFT calculation with PBE was carried out for crystalline Zn3CBr at its relaxed geometry.

## Properties
Uncorrected formation energy ... 1.94 eV/atom
Energy relative to the lowest polymorph listed for this composition ... 7.57 eV/f.u.

Structure (CIF):
```
data_Zn3CBr
_symmetry_space_group_name_H-M 'P m -3 m'
_symmetry_Int_Tables_number 221
_symmetry_space_group_name_Hall '-P 4 2 3'
_cell_length_a 5.5249
_cell_length_b 5.5249
_cell_length_c 5.5249
_cell_angle_alpha 90.00
_cell_angle_beta 90.00
_cell_angle_gamma 90.00
loop_
_atom_site_label
_atom_site_type_symbol
_atom_site_fract_x
_atom_site_fract_y
_atom_site_fract_z
Zn1 Zn 0.0000 0.0000 0.5000
C1 C 0.5000 0.5000 0.5000
Br1 Br 0.0000 0.0000 0.0000
```



Record 4
A plane-wave DFT calculation with PBE was carried out for crystalline CaNiIr2 at its relaxed geometry.

## Properties
Energy relative to the lowest polymorph listed for this composition ... 0.61 eV/f.u.
Energy of formation ... 169 meV per atom

Structure (CIF):
```
data_CaNiIr2
_symmetry_space_group_name_H-M 'I m m 2'
_symmetry_Int_Tables_number 44
_symmetry_space_group_name_Hall 'I 2 -2'
_cell_length_a 2.8530
_cell_length_b 4.6883
_cell_length_c 9.7629
_cell_angle_alpha 90.00
_cell_angle_beta 90.00
_cell_angle_gamma 90.00
loop_
_atom_site_label
_atom_site_type_symbol
_atom_site_fract_x
_atom_site_fract_y
_atom_site_fract_z
Ca1 Ca 0.0000 0.0000 0.0000
Ni1 Ni 0.0000 0.5000 0.2269
Ir1 Ir 0.0000 0.0000 0.5077
Ir2 Ir 0.0000 0.5000 0.7811
```



Record 5
A plane-wave DFT calculation with PBE was carried out for crystalline PmPr12Dy3 at its relaxed geometry.

## Properties
Energy of formation ... 12 meV per atom

Structure (CIF):
```
data_PmPr12Dy3
_symmetry_space_group_name_H-M 'P 4/m m m'
_symmetry_Int_Tables_number 123
_symmetry_space_group_name_Hall '-P 4 2'
_cell_length_a 5.2034
_cell_length_b 5.2034
_cell_length_c 20.7574
_cell_angle_alpha 90.00
_cell_angle_beta 90.00
_cell_angle_gamma 90.00
loop_
_atom_site_label
_atom_site_type_symbol
_atom_site_fract_x
_atom_site_fract_y
_atom_site_fract_z
Pm1 Pm 0.0000 0.0000 0.0000
Pr1 Pr 0.0000 0.5000 0.1264
Pr2 Pr 0.0000 0.5000 0.3755
Pr3 Pr 0.5000 0.5000 0.0000
Pr4 Pr 0.5000 0.5000 0.2513
Pr5 Pr 0.5000 0.5000 0.5000
Dy1 Dy 0.0000 0.0000 0.2511
Dy2 Dy 0.0000 0.0000 0.5000
```



Record 6
A plane-wave DFT calculation with PBE was carried out for crystalline GdCo12B6 at its relaxed geometry.

## Properties
Energy of formation ... -347 meV per atom

Structure (CIF):
```
data_GdCo12B6
_symmetry_space_group_name_H-M 'R -3 m'
_symmetry_Int_Tables_number 166
_symmetry_space_group_name_Hall '-R 3 2"'
_cell_length_a 9.3926
_cell_length_b 9.3926
_cell_length_c 7.4159
_cell_angle_alpha 90.00
_cell_angle_beta 90.00
_cell_angle_gamma 120.00
loop_
_atom_site_label
_atom_site_type_symbol
_atom_site_fract_x
_atom_site_fract_y
_atom_site_fract_z
Gd1 Gd 0.0000 0.0000 0.0000
Co1 Co 0.0000 0.3675 0.5000
Co2 Co 0.0902 0.1803 0.3668
B1 B 0.0372 0.5186 0.2862
```



Record 7
A plane-wave DFT calculation with PBE was carried out for crystalline PuUNbN3 at its relaxed geometry.

## Properties
Uncorrected formation energy ... -0.94 eV/atom

Structure (CIF):
```
data_PuUNbN3
_symmetry_space_group_name_H-M 'P 1 21/m 1'
_symmetry_Int_Tables_number 11
_symmetry_space_group_name_Hall '-P 2yb'
_cell_length_a 7.0263
_cell_length_b 3.2269
_cell_length_c 8.1489
_cell_angle_alpha 90.00
_cell_angle_beta 92.96
_cell_angle_gamma 90.00
loop_
_atom_site_label
_atom_site_type_symbol
_atom_site_fract_x
_atom_site_fract_y
_atom_site_fract_z
Pu1 Pu 0.1162 0.2500 0.3368
U1 U 0.3958 0.7500 0.6673
Nb1 Nb 0.1556 0.2500 0.9434
N1 N 0.1441 0.7500 0.1127
N2 N 0.1610 0.2500 0.6574
N3 N 0.3846 0.7500 0.3991
```



Record 8
A plane-wave DFT calculation with PBE was carried out for crystalline ZrReIr2 at its relaxed geometry.

## Properties
Energy relative to the lowest polymorph listed for this composition ... 2.75 eV/f.u.
Energy of formation ... 281 meV per atom

Structure (CIF):
```
data_ZrReIr2
_symmetry_space_group_name_H-M 'I -4 2 d'
_symmetry_Int_Tables_number 122
_symmetry_space_group_name_Hall 'I -4 2bw'
_cell_length_a 4.0089
_cell_length_b 4.0089
_cell_length_c 17.9379
_cell_angle_alpha 90.00
_cell_angle_beta 90.00
_cell_angle_gamma 90.00
loop_
_atom_site_label
_atom_site_type_symbol
_atom_site_fract_x
_atom_site_fract_y
_atom_site_fract_z
Zr1 Zr 0.0000 0.0000 0.0000
Re1 Re 0.0000 0.0000 0.5000
Ir1 Ir 0.2220 0.2500 0.6250
```



Record 9
A plane-wave DFT calculation with PBE was carried out for crystalline NaY3Zn at its relaxed geometry.

## Properties
Energy relative to the lowest polymorph listed for this composition ... 3.58 eV/f.u.
Energy of formation ... 972 meV per atom

Structure (CIF):
```
data_NaY3Zn
_symmetry_space_group_name_H-M 'P m -3 m'
_symmetry_Int_Tables_number 221
_symmetry_space_group_name_Hall '-P 4 2 3'
_cell_length_a 5.5067
_cell_length_b 5.5067
_cell_length_c 5.5067
_cell_angle_alpha 90.00
_cell_angle_beta 90.00
_cell_angle_gamma 90.00
loop_
_atom_site_label
_atom_site_type_symbol
_atom_site_fract_x
_atom_site_fract_y
_atom_site_fract_z
Na1 Na 0.0000 0.0000 0.0000
Y1 Y 0.0000 0.0000 0.5000
Zn1 Zn 0.5000 0.5000 0.5000
```



Record 10
A plane-wave DFT calculation with PBE was carried out for crystalline La12In3Cu at its relaxed geometry.

## Properties
Energy of formation ... -196 meV per atom

Structure (CIF):
```
data_La12In3Cu
_symmetry_space_group_name_H-M 'P 4/m m m'
_symmetry_Int_Tables_number 123
_symmetry_space_group_name_Hall '-P 4 2'
_cell_length_a 5.0614
_cell_length_b 5.0614
_cell_length_c 19.9354
_cell_angle_alpha 90.00
_cell_angle_beta 90.00
_cell_angle_gamma 90.00
loop_
_atom_site_label
_atom_site_type_symbol
_atom_site_fract_x
_atom_site_fract_y
_atom_site_fract_z
La1 La 0.0000 0.0000 0.0000
La2 La 0.0000 0.0000 0.2433
La3 La 0.0000 0.0000 0.5000
La4 La 0.0000 0.5000 0.1174
La5 La 0.0000 0.5000 0.3725
In1 In 0.5000 0.5000 0.2445
In2 In 0.5000 0.5000 0.5000
Cu1 Cu 0.5000 0.5000 0.0000
```



Record 11
A plane-wave DFT calculation with PBE was carried out for crystalline Re7Pb at its relaxed geometry.

## Properties
Energy of formation ... 667 meV per atom

Structure (CIF):
```
data_Re7Pb
_symmetry_space_group_name_H-M 'F m -3 m'
_symmetry_Int_Tables_number 225
_symmetry_space_group_name_Hall '-F 4 2 3'
_cell_length_a 7.9760
_cell_length_b 7.9760
_cell_length_c 7.9760
_cell_angle_alpha 90.00
_cell_angle_beta 90.00
_cell_angle_gamma 90.00
loop_
_atom_site_label
_atom_site_type_symbol
_atom_site_fract_x
_atom_site_fract_y
_atom_site_fract_z
Re1 Re 0.0000 0.0000 0.0000
Re2 Re 0.0000 0.2500 0.2500
Pb1 Pb 0.0000 0.0000 0.5000
```



Record 12
A plane-wave DFT calculation with PBE was carried out for crystalline B5C7 at its relaxed geometry.

## Properties
Energy relative to the lowest polymorph listed for this composition ... 1.63 eV/f.u.
Energy of formation ... 394 meV per atom

Structure (CIF):
```
data_B5C7
_symmetry_space_group_name_H-M 'C 1 m 1'
_symmetry_Int_Tables_number 8
_symmetry_space_group_name_Hall 'C -2y'
_cell_length_a 13.9417
_cell_length_b 2.6780
_cell_length_c 4.7457
_cell_angle_alpha 90.00
_cell_angle_beta 108.26
_cell_angle_gamma 90.00
loop_
_atom_site_label
_atom_site_type_symbol
_atom_site_fract_x
_atom_site_fract_y
_atom_site_fract_z
B1 B 0.0000 0.0000 0.0000
B2 B 0.0625 0.0000 0.5478
B3 B 0.2155 0.5000 0.4384
B4 B 0.3268 0.0000 0.9693
B5 B 0.3917 0.0000 0.5228
C1 C 0.0106 0.5000 0.5911
C2 C 0.0564 0.5000 0.9705
C3 C 0.1730 0.5000 0.0700
C4 C 0.1765 0.0000 0.5885
C5 C 0.2104 0.0000 0.9489
C6 C 0.3388 0.5000 0.5521
C7 C 0.3798 0.5000 0.9292
```



Record 13
A plane-wave DFT calculation with PBE was carried out for crystalline MgMn2I6 at its relaxed geometry.

## Properties
Uncorrected formation energy ... -0.59 eV/atom
Energy relative to the lowest polymorph listed for this composition ... 0.47 eV/f.u.

Structure (CIF):
```
data_MgMn2I6
_symmetry_space_group_name_H-M 'C 1 2/c 1'
_symmetry_Int_Tables_number 15
_symmetry_space_group_name_Hall '-C 2yc'
_cell_length_a 14.3760
_cell_length_b 13.0243
_cell_length_c 7.6776
_cell_angle_alpha 90.00
_cell_angle_beta 101.38
_cell_angle_gamma 90.00
loop_
_atom_site_label
_atom_site_type_symbol
_atom_site_fract_x
_atom_site_fract_y
_atom_site_fract_z
Mg1 Mg 0.0000 0.1057 0.2500
Mn1 Mn 0.1926 0.4147 0.3229
I1 I 0.1117 0.0773 0.6163
I2 I 0.1265 0.2473 0.1325
I3 I 0.1273 0.4169 0.6294
```



Record 14
A plane-wave DFT calculation with PBE was carried out for crystalline SrAcMg at its relaxed geometry.

## Properties
Energy relative to the lowest polymorph listed for this composition ... 0.10 eV/f.u.
Energy of formation ... -7 meV per atom

Structure (CIF):
```
data_SrAcMg
_symmetry_space_group_name_H-M 'I 4 m m'
_symmetry_Int_Tables_number 107
_symmetry_space_group_name_Hall 'I 4 -2'
_cell_length_a 4.0925
_cell_length_b 4.0925
_cell_length_c 14.4285
_cell_angle_alpha 90.00
_cell_angle_beta 90.00
_cell_angle_gamma 90.00
loop_
_atom_site_label
_atom_site_type_symbol
_atom_site_fract_x
_atom_site_fract_y
_atom_site_fract_z
Sr1 Sr 0.0000 0.0000 0.0000
Ac1 Ac 0.0000 0.0000 0.2886
Mg1 Mg 0.0000 0.0000 0.6476
```



Record 15
A plane-wave DFT calculation with PBE was carried out for crystalline U2Fe5P3 at its relaxed geometry.

## Properties
Energy of formation ... -537 meV per atom

Structure (CIF):
```
data_U2Fe5P3
_symmetry_space_group_name_H-M 'C m c 21'
_symmetry_Int_Tables_number 36
_symmetry_space_group_name_Hall 'C 2c -2'
_cell_length_a 3.7396
_cell_length_b 23.3738
_cell_length_c 6.1157
_cell_angle_alpha 90.00
_cell_angle_beta 90.00
_cell_angle_gamma 90.00
loop_
_atom_site_label
_atom_site_type_symbol
_atom_site_fract_x
_atom_site_fract_y
_atom_site_fract_z
U1 U 0.0000 0.0102 0.0000
U2 U 0.0000 0.3249 0.9874
Fe1 Fe 0.0000 0.1102 0.6531
Fe2 Fe 0.0000 0.2085 0.7715
Fe3 Fe 0.0000 0.2102 0.1775
Fe4 Fe 0.0000 0.3645 0.4836
Fe5 Fe 0.0000 0.4294 0.8589
P1 P 0.0000 0.1135 0.2112
P2 P 0.0000 0.2687 0.4754
P3 P 0.0000 0.4384 0.2319
```



Record 16
A plane-wave DFT calculation with PBE was carried out for crystalline CeY3Tm2P6 at its relaxed geometry.

## Properties
Energy of formation ... -1603 meV per atom

Structure (CIF):
```
data_CeY3Tm2P6
_symmetry_space_group_name_H-M 'C 1 2/m 1'
_symmetry_Int_Tables_number 12
_symmetry_space_group_name_Hall '-C 2y'
_cell_length_a 6.9268
_cell_length_b 11.9963
_cell_length_c 6.9337
_cell_angle_alpha 90.00
_cell_angle_beta 109.46
_cell_angle_gamma 90.00
loop_
_atom_site_label
_atom_site_type_symbol
_atom_site_fract_x
_atom_site_fract_y
_atom_site_fract_z
Ce1 Ce 0.0000 0.0000 0.0000
Y1 Y 0.0000 0.1662 0.5000
Y2 Y 0.0000 0.5000 0.5000
Tm1 Tm 0.0000 0.3333 0.0000
P1 P 0.2469 0.5000 0.2462
P2 P 0.2501 0.1676 0.2475
```



Record 17
A plane-wave DFT calculation with PBE was carried out for crystalline Ag2OsSe at its relaxed geometry.

## Properties
Uncorrected formation energy ... 0.81 eV/atom

Structure (CIF):
```
data_Ag2OsSe
_symmetry_space_group_name_H-M 'I -4 m 2'
_symmetry_Int_Tables_number 119
_symmetry_space_group_name_Hall 'I -4 -2'
_cell_length_a 4.1697
_cell_length_b 4.1697
_cell_length_c 7.8263
_cell_angle_alpha 90.00
_cell_angle_beta 90.00
_cell_angle_gamma 90.00
loop_
_atom_site_label
_atom_site_type_symbol
_atom_site_fract_x
_atom_site_fract_y
_atom_site_fract_z
Ag1 Ag 0.0000 0.0000 0.0000
Ag2 Ag 0.0000 0.5000 0.2500
Os1 Os 0.0000 0.5000 0.7500
Se1 Se 0.0000 0.0000 0.5000
```



Record 18
A plane-wave DFT calculation with PBE was carried out for crystalline SnTeAsH2 at its relaxed geometry.

## Properties
Uncorrected energy ... -3.378 eV per atom

Structure (CIF):
```
data_SnTeAsH2
_symmetry_space_group_name_H-M 'P 4/m m m'
_symmetry_Int_Tables_number 123
_symmetry_space_group_name_Hall '-P 4 2'
_cell_length_a 4.0216
_cell_length_b 4.0216
_cell_length_c 6.1543
_cell_angle_alpha 90.00
_cell_angle_beta 90.00
_cell_angle_gamma 90.00
loop_
_atom_site_label
_atom_site_type_symbol
_atom_site_fract_x
_atom_site_fract_y
_atom_site_fract_z
Sn1 Sn 0.0000 0.0000 0.0000
Te1 Te 0.0000 0.0000 0.5000
As1 As 0.5000 0.5000 0.5000
H1 H 0.0000 0.5000 0.0000
```



Record 19
A plane-wave DFT calculation with PBE was carried out for crystalline Na3Tl4Au2 at its relaxed geometry.

## Properties
Energy of formation ... -196 meV per atom

Structure (CIF):
```
data_Na3Tl4Au2
_symmetry_space_group_name_H-M 'C 1 2/m 1'
_symmetry_Int_Tables_number 12
_symmetry_space_group_name_Hall '-C 2y'
_cell_length_a 11.2090
_cell_length_b 5.1587
_cell_length_c 9.5009
_cell_angle_alpha 90.00
_cell_angle_beta 123.48
_cell_angle_gamma 90.00
loop_
_atom_site_label
_atom_site_type_symbol
_atom_site_fract_x
_atom_site_fract_y
_atom_site_fract_z
Na1 Na 0.0000 0.0000 0.0000
Na2 Na 0.1628 0.5000 0.6657
Tl1 Tl 0.0745 0.0000 0.3962
Tl2 Tl 0.2015 0.5000 0.0487
Au1 Au 0.1081 0.5000 0.2786
```



Record 20
A plane-wave DFT calculation with PBE was carried out for crystalline TmPaAgRh at its relaxed geometry.

## Properties
Energy of formation ... -287 meV per atom

Structure (CIF):
```
data_TmPaAgRh
_symmetry_space_group_name_H-M 'F -4 3 m'
_symmetry_Int_Tables_number 216
_symmetry_space_group_name_Hall 'F -4 2 3'
_cell_length_a 7.0328
_cell_length_b 7.0328
_cell_length_c 7.0328
_cell_angle_alpha 90.00
_cell_angle_beta 90.00
_cell_angle_gamma 90.00
loop_
_atom_site_label
_atom_site_type_symbol
_atom_site_fract_x
_atom_site_fract_y
_atom_site_fract_z
Tm1 Tm 0.0000 0.0000 0.0000
Pa1 Pa 0.0000 0.0000 0.5000
Ag1 Ag 0.2500 0.2500 0.7500
Rh1 Rh 0.2500 0.2500 0.2500
```



| no. | magnetic moment (μB per formula unit) |
| --- | --- |
| 1 | 0.15 |
| 2 | 0.95 |
| 3 | 2.03 |
| 4 | 0.87 |
| 5 | 0.00 |
| 6 | 13.79 |
| 7 | 6.19 |
| 8 | 0.00 |
| 9 | 2.08 |
| 10 | 0.00 |
| 11 | 0.00 |
| 12 | 0.00 |
| 13 | 10.00 |
| 14 | 0.00 |
| 15 | 1.99 |
| 16 | 0.28 |
| 17 | 0.00 |
| 18 | 0.00 |
| 19 | 0.00 |
| 20 | 0.73 |